# AgHPd3 PBE optimized geometry
# Offset from the most stable computed form ... 0.121 eV per atom
# Density of states at the Fermi level ... 2.5 states/eV/f.u.
# Total DFT energy (no corrections) ... -4.31 eV per atom
# Spin magnetization ... 0.0 μB/f.u.
data_AgHPd3
_chemical_formula_sum 'Ag4 H4 Pd12'
_cell_length_a 5.419
_cell_length_b 9.452
_cell_length_c 5.435
_cell_angle_alpha 90.00
_cell_angle_beta 90.00
_cell_angle_gamma 90.00
_space_group_name_H-M_alt 'C m c m'
_space_group_IT_number 63
_space_group_name_Hall '-C 2c 2'
loop_
_atom_site_label
_atom_site_type_symbol
_atom_site_fract_x
_atom_site_fract_y
_atom_site_fract_z
Ag1 Ag 0.000 0.022 0.250
H1 H 0.000 0.362 0.750
Pd1 Pd 0.000 0.500 0.000
Pd2 Pd 0.250 0.231 0.750